Entry 1:
{
  "formula": "NbNiAgB",
  "functional": "PBE",
  "state": "relaxed",
  "lattice_angstrom": [[2.4630, -2.6385, 2.1957], [2.7825, 1.5328, 2.7852], [-0.6425, -0.5360, 4.1411]],
  "species": ["Ni", "Ag", "Nb", "B"],
  "fractional_positions": [[0.7500, 0.7500, 0.7500], [0.5000, 0.5000, 0.5000], [0.2500, 0.2500, 0.2500], [0.0000, 0.0000, 0.0000]],
  "total_energy_ev_per_atom": -5.743
}


Entry 2:
{
  "formula": "NdAgB4",
  "functional": "PBE",
  "state": "relaxed",
  "lattice_angstrom": [[-1.9240, -0.3561, -2.5901], [3.2151, 0.2281, -0.3854], [0.6045, -7.5295, 0.5862]],
  "species": ["B", "B", "Nd", "Ag", "B", "B"],
  "fractional_positions": [[0.3333, 0.6667, 0.2650], [0.6667, 0.3333, 0.2650], [0.0000, 0.0000, 0.0000], [0.0000, 0.0000, 0.5000], [0.6667, 0.3333, 0.7350], [0.3333, 0.6667, 0.7350]],
  "total_energy_ev_per_atom": -5.567
}


Entry 3:
{
  "formula": "NdAgB",
  "functional": "PBE",
  "state": "relaxed",
  "lattice_angstrom": [[-0.3174, -1.3417, 4.1879], [-3.8846, -1.3418, 1.5966], [-0.6572, -4.2649, 0.9047]],
  "species": ["Ag", "B", "Nd"],
  "fractional_positions": [[0.2500, 0.2500, 0.2500], [0.0000, 0.0000, 0.0000], [0.7500, 0.7500, 0.7500]],
  "total_energy_ev_per_atom": -4.534
}


Entry 4:
{
  "formula": "NdAgB4",
  "functional": "PBE",
  "state": "relaxed",
  "lattice_angstrom": [[-0.4548, -5.1836, -0.6669], [1.6736, -2.1847, 4.4662], [-3.6855, 3.0307, -2.1801]],
  "species": ["B", "B", "B", "B", "Nd", "Ag"],
  "fractional_positions": [[0.4381, 0.7573, 0.6808], [0.0765, 0.7573, 0.3192], [0.9235, 0.2427, 0.6808], [0.5619, 0.2427, 0.3192], [0.5000, 0.5000, 0.0000], [0.0000, 0.0000, 0.0000]],
  "total_energy_ev_per_atom": -5.653
}


Entry 5:
{
  "formula": "NiAgB",
  "functional": "PBE",
  "state": "relaxed",
  "lattice_angstrom": [[0.0000, 2.7293, 2.7293], [2.7293, 0.0000, 2.7293], [2.7293, 2.7293, 0.0000]],
  "species": ["Ni", "Ag", "B"],
  "fractional_positions": [[0.0000, 0.0000, 0.0000], [0.2500, 0.2500, 0.2500], [0.7500, 0.7500, 0.7500]],
  "total_energy_ev_per_atom": -4.027
}


Entry 6:
{
  "formula": "NiAg2B",
  "functional": "PBE",
  "state": "relaxed",
  "lattice_angstrom": [[0.0000, 2.9966, 2.9966], [2.9966, 0.0000, 2.9966], [2.9966, 2.9966, 0.0000]],
  "species": ["Ag", "Ni", "Ag", "B"],
  "fractional_positions": [[0.7500, 0.7500, 0.7500], [0.2500, 0.2500, 0.2500], [0.0000, 0.0000, 0.0000], [0.5000, 0.5000, 0.5000]],
  "total_energy_ev_per_atom": -3.656
}